HfInMoF2: optimized geometry, PBE+U.

Cell: 4.2185 4.2185 5.4046 Å, 90.00 90.00 90.00°
Closest atoms and distances in Å follow each position.
Sites, in units of the cell vectors:
Hf  0.0000  0.0000  0.0000  2 Mo 2.70, 4 In 2.98
In  0.5000  0.5000  0.0000  4 Hf 2.98
Mo  0.0000  0.0000  0.5000  4 F 2.11
F  0.0000  0.5000  0.5000  2 Mo 2.11
F  0.5000  0.0000  0.5000  2 Mo 2.11

SG = P4/mmm
Electronic total energy = -25.88 eV per cell
Density = 7.376 Mg/m³